! Th2Al3Pt PBE-GGA optimized geometry; values from VASP
&SYSTEM
  ibrav = 0, nat = 12, ntyp = 3
/
ATOMIC_SPECIES
Al 26.98 Al.upf
Th 232.04 Th.upf
Pt 195.08 Pt.upf
CELL_PARAMETERS angstrom
-0.3794 0.0998 -5.9361
4.4133 -3.8340 -1.1020
-7.0845 -4.0307 3.7438
ATOMIC_POSITIONS crystal
Al 0.1681 0.1681 0.8320
Th 0.7500 0.2500 0.5000
Al 0.6639 0.6639 0.8320
Al 0.8342 0.8342 0.6683
Al 0.3361 0.3361 0.1680
Th 0.2500 0.7500 0.5000
Al 0.8319 0.8319 0.1680
Al 0.1658 0.1658 0.3317
Pt 0.6707 0.6707 0.3413
Th 0.7425 0.2575 0.0000
Th 0.2575 0.7425 0.0000
Pt 0.3293 0.3293 0.6587
! Electronic total energy, eV/atom: -6.0483
! Mass density, g/cm³: 9.00
! V, Å³/atom: 22.8